LaCo4B4 | GGA-PBEsol | relaxed

a b c (Å): 3.7671 7.0283 7.0283
angles (deg): 90.00 90.00 90.00
Fractional positions:
La 0.0000 0.0000 0.0000
La 0.5000 0.5000 0.5000
Co 0.8952 0.3832 0.1400
Co 0.8952 0.6168 0.8600
Co 0.3952 0.3600 0.8832
Co 0.3952 0.6400 0.1168
Co 0.6048 0.1168 0.3600
Co 0.6048 0.8832 0.6400
Co 0.1048 0.1400 0.6168
Co 0.1048 0.8600 0.3832
B 0.1024 0.7982 0.6610
B 0.1024 0.2018 0.3390
B 0.6024 0.8390 0.2982
B 0.6024 0.1610 0.7018
B 0.3976 0.7018 0.8390
B 0.3976 0.2982 0.1610
B 0.8976 0.6610 0.2018
B 0.8976 0.3390 0.7982

Space-group type: P4_2/n (86)
Calculated formation energy (eV per atom): -0.51

LaCo2B2 | GGA-PBEsol | relaxed

a b c (Å): 3.5561 3.5561 5.6465
angles (deg): 108.35 108.35 90.00
Fractional positions:
B 0.3344 0.3344 0.6687
B 0.6656 0.6656 0.3313
Co 0.2500 0.7500 0.5000
Co 0.7500 0.2500 0.5000
La 0.0000 0.0000 0.0000

Space-group type: I4/mmm (139)
Calculated formation energy (eV per atom): -0.52

La2Co14B | GGA-PBEsol | relaxed

a b c (Å): 8.4725 8.4725 11.7145
angles (deg): 90.00 90.00 90.00
Fractional positions:
La 0.2251 0.7749 0.5000
La 0.7749 0.2251 0.5000
La 0.2749 0.2749 0.0000
La 0.7251 0.7251 0.0000
La 0.6423 0.6423 0.5000
La 0.3577 0.3577 0.5000
La 0.8577 0.1423 0.0000
La 0.1423 0.8577 0.0000
Co 0.0000 0.5000 0.5000
Co 0.5000 0.0000 0.0000
Co 0.5000 0.0000 0.5000
Co 0.0000 0.5000 0.0000
Co 0.5000 0.5000 0.1160
Co 0.0000 0.0000 0.6160
Co 0.5000 0.5000 0.8840
Co 0.0000 0.0000 0.3840
Co 0.1819 0.8181 0.2529
Co 0.8181 0.1819 0.2529
Co 0.3181 0.3181 0.7529
Co 0.6819 0.6819 0.7529
Co 0.8181 0.1819 0.7471
Co 0.1819 0.8181 0.7471
Co 0.6819 0.6819 0.2471
Co 0.3181 0.3181 0.2471
Co 0.4009 0.5991 0.2907
Co 0.5991 0.4009 0.2907
Co 0.0991 0.0991 0.7907
Co 0.9009 0.9009 0.7907
Co 0.5991 0.4009 0.7093
Co 0.4009 0.5991 0.7093
Co 0.9009 0.9009 0.2093
Co 0.0991 0.0991 0.2093
Co 0.1390 0.5368 0.3202
Co 0.8610 0.4632 0.3202
Co 0.3610 0.0368 0.8202
Co 0.6390 0.9632 0.8202
Co 0.8610 0.4632 0.6798
Co 0.1390 0.5368 0.6798
Co 0.6390 0.9632 0.1798
Co 0.3610 0.0368 0.1798
Co 0.5368 0.1390 0.3202
Co 0.4632 0.8610 0.3202
Co 0.0368 0.3610 0.8202
Co 0.9632 0.6390 0.8202
Co 0.4632 0.8610 0.6798
Co 0.5368 0.1390 0.6798
Co 0.9632 0.6390 0.1798
Co 0.0368 0.3610 0.1798
Co 0.9291 0.7231 0.3727
Co 0.0709 0.2769 0.3727
Co 0.5709 0.2231 0.8727
Co 0.4291 0.7769 0.8727
Co 0.0709 0.2769 0.6273
Co 0.9291 0.7231 0.6273
Co 0.4291 0.7769 0.1273
Co 0.5709 0.2231 0.1273
Co 0.7231 0.9291 0.3727
Co 0.2769 0.0709 0.3727
Co 0.2231 0.5709 0.8727
Co 0.7769 0.4291 0.8727
Co 0.2769 0.0709 0.6273
Co 0.7231 0.9291 0.6273
Co 0.7769 0.4291 0.1273
Co 0.2231 0.5709 0.1273
B 0.8779 0.8779 0.5000
B 0.1221 0.1221 0.5000
B 0.6221 0.3779 0.0000
B 0.3779 0.6221 0.0000

Space-group type: P4_2/mnm (136)
Calculated formation energy (eV per atom): -0.10

LaYCo8B2 | GGA-PBEsol | relaxed

a b c (Å): 4.9708 4.9708 6.7739
angles (deg): 90.00 90.00 120.00
Fractional positions:
La 0.0000 0.0000 0.0000
Y 0.0000 0.0000 0.5000
Co 0.5000 0.5000 0.2902
Co 0.0000 0.5000 0.2902
Co 0.5000 0.0000 0.2902
Co 0.5000 0.5000 0.7098
Co 0.0000 0.5000 0.7098
Co 0.5000 0.0000 0.7098
Co 0.6667 0.3333 0.0000
Co 0.3333 0.6667 0.0000
B 0.6667 0.3333 0.5000
B 0.3333 0.6667 0.5000

Space-group type: P6/mmm (191)
Calculated formation energy (eV per atom): -0.29

LiCo3B | GGA-PBEsol | relaxed

a b c (Å): 3.6662 3.6662 3.6662
angles (deg): 90.00 90.00 90.00
Fractional positions:
B 0.5000 0.5000 0.5000
Co 0.0000 0.5000 0.0000
Co 0.0000 0.0000 0.5000
Co 0.5000 0.0000 0.0000
Li 0.0000 0.0000 0.0000

Space-group type: Pm-3m (221)
Calculated formation energy (eV per atom): 1.51

Li3CoB2O6 | GGA-PBEsol | relaxed

a b c (Å): 5.1116 8.8485 9.4545
angles (deg): 90.00 90.82 90.00
Fractional positions:
Li 0.1648 0.0132 0.6664
Li 0.1638 0.3331 0.6211
Li 0.1744 0.0070 0.1040
Li 0.3362 0.8331 0.8789
Li 0.3256 0.5070 0.3960
Li 0.3352 0.5132 0.8336
Li 0.6648 0.4868 0.1664
Li 0.6744 0.4930 0.6040
Li 0.6638 0.1669 0.1211
Li 0.8256 0.9930 0.8960
Li 0.8362 0.6669 0.3789
Li 0.8352 0.9868 0.3336
Co 0.1606 0.6672 0.1244
Co 0.3394 0.1672 0.3756
Co 0.6606 0.8328 0.6244
Co 0.8394 0.3328 0.8756
B 0.1704 0.6720 0.6205
B 0.1597 0.3372 0.1292
B 0.3296 0.1720 0.8795
B 0.3403 0.8372 0.3708
B 0.6597 0.1628 0.6292
B 0.6704 0.8280 0.1205
B 0.8403 0.6628 0.8708
B 0.8296 0.3280 0.3795
O 0.1007 0.6623 0.9134
O 0.0996 0.3280 0.4033
O 0.1938 0.0394 0.8807
O 0.2060 0.9741 0.3572
O 0.2084 0.7057 0.3384
O 0.2074 0.3100 0.8518
O 0.2926 0.8100 0.6482
O 0.2916 0.2057 0.1616
O 0.2940 0.4741 0.1428
O 0.3062 0.5394 0.6193
O 0.3993 0.1623 0.5866
O 0.4004 0.8280 0.0967
O 0.5996 0.1720 0.9033
O 0.6007 0.8377 0.4134
O 0.6938 0.4606 0.3807
O 0.7060 0.5259 0.8572
O 0.7084 0.7943 0.8384
O 0.7074 0.1900 0.3518
O 0.7926 0.6900 0.1482
O 0.7916 0.2943 0.6616
O 0.7940 0.0259 0.6428
O 0.8062 0.9606 0.1193
O 0.9004 0.6720 0.5967
O 0.8993 0.3377 0.0866

Space-group type: P2_1/c (14)
E_form (uncorrected) (kJ/mol of formula units): -2308.5

Li2CoBO4 | GGA-PBEsol | relaxed

a b c (Å): 4.9640 4.9640 5.9865
angles (deg): 90.00 90.00 91.65
Fractional positions:
Li 0.3251 0.3251 0.5000
Li 0.6749 0.6749 0.0000
Li 0.8086 0.1914 0.7500
Li 0.1914 0.8086 0.2500
Co 0.1820 0.8180 0.7500
Co 0.8180 0.1820 0.2500
B 0.3164 0.3164 0.0000
B 0.6836 0.6836 0.5000
O 0.1904 0.2061 0.2058
O 0.2061 0.1904 0.7942
O 0.8096 0.7939 0.7058
O 0.7939 0.8096 0.2942
O 0.6124 0.2785 0.0089
O 0.2785 0.6124 0.9911
O 0.7215 0.3876 0.4911
O 0.3876 0.7215 0.5089

Space-group type: C222_1 (20)
E_form (uncorrected) (kJ/mol of formula units): -1402.3

LiCo2B2O6 | GGA-PBEsol | relaxed

a b c (Å): 5.1066 5.1183 5.6953
angles (deg): 65.43 63.73 60.40
Fractional positions:
B 0.9038 0.2669 0.7486
B 0.0894 0.7373 0.2522
Co 0.2254 0.6035 0.7575
Co 0.7577 0.3899 0.2646
O 0.6513 0.3308 0.6725
O 0.8960 0.4777 0.8471
O 0.1711 0.0082 0.7040
O 0.8155 0.9928 0.2707
O 0.1200 0.4910 0.1789
O 0.3378 0.7070 0.3152
Li 0.3977 0.0582 0.3200

Space-group type: P1 (1)
E_form (uncorrected) (kJ/mol of formula units): -1727.1

Lu2CoB6 | GGA-PBEsol | relaxed

a b c (Å): 3.4250 8.9313 11.2475
angles (deg): 90.00 90.00 90.00
Fractional positions:
Lu 0.0000 0.8234 0.0853
Lu 0.0000 0.1766 0.9147
Lu 0.0000 0.3234 0.4147
Lu 0.0000 0.6766 0.5853
Lu 0.0000 0.4437 0.1291
Lu 0.0000 0.5563 0.8709
Lu 0.0000 0.9437 0.3709
Lu 0.0000 0.0563 0.6291
Co 0.0000 0.1405 0.1802
Co 0.0000 0.8595 0.8198
Co 0.0000 0.6405 0.3198
Co 0.0000 0.3595 0.6802
B 0.5000 0.0538 0.0665
B 0.5000 0.9462 0.9335
B 0.5000 0.5538 0.4335
B 0.5000 0.4462 0.5665
B 0.5000 0.2479 0.0814
B 0.5000 0.7521 0.9186
B 0.5000 0.7479 0.4186
B 0.5000 0.2521 0.5814
B 0.5000 0.2931 0.2362
B 0.5000 0.7069 0.7638
B 0.5000 0.7931 0.2638
B 0.5000 0.2069 0.7362
B 0.5000 0.1334 0.3158
B 0.5000 0.8666 0.6842
B 0.5000 0.6334 0.1842
B 0.5000 0.3666 0.8158
B 0.5000 0.4849 0.2885
B 0.5000 0.5151 0.7115
B 0.5000 0.9849 0.2115
B 0.5000 0.0151 0.7885
B 0.5000 0.1064 0.4714
B 0.5000 0.8936 0.5286
B 0.5000 0.6064 0.0286
B 0.5000 0.3936 0.9714

Space-group type: Pbam (55)
Calculated formation energy (eV per atom): -0.72

Lu4CoB13 | GGA-PBEsol | relaxed

a b c (Å): 6.6506 7.1769 7.1769
angles (deg): 90.00 90.00 90.00
Fractional positions:
Lu 0.0000 0.1848 0.3178
Lu 0.5000 0.3152 0.8178
Lu 0.5000 0.6848 0.1822
Lu 0.0000 0.8152 0.6822
Lu 0.0000 0.3178 0.8152
Lu 0.0000 0.6822 0.1848
Lu 0.5000 0.1822 0.3152
Lu 0.5000 0.8178 0.6848
Co 0.0000 0.0000 0.0000
Co 0.5000 0.5000 0.5000
B 0.2454 0.6710 0.4609
B 0.2500 0.4104 0.0896
B 0.7454 0.8290 0.9609
B 0.7546 0.4609 0.3290
B 0.2454 0.5391 0.6710
B 0.7500 0.9104 0.4104
B 0.2546 0.8290 0.9609
B 0.2546 0.9609 0.1710
B 0.2500 0.5896 0.9104
B 0.2546 0.0391 0.8290
B 0.7454 0.0391 0.8290
B 0.2454 0.3290 0.5391
B 0.7500 0.0896 0.5896
B 0.7454 0.9609 0.1710
B 0.2500 0.0896 0.5896
B 0.0000 0.5000 0.5000
B 0.7500 0.4104 0.0896
B 0.7500 0.5896 0.9104
B 0.2500 0.9104 0.4104
B 0.7546 0.3290 0.5391
B 0.7546 0.6710 0.4609
B 0.2454 0.4609 0.3290
B 0.2546 0.1710 0.0391
B 0.7454 0.1710 0.0391
B 0.7546 0.5391 0.6710
B 0.5000 0.0000 0.0000

Space-group type: P4/mnc (128)
Calculated formation energy (eV per atom): -0.61

LuCo3B2 | GGA-PBEsol | relaxed

a b c (Å): 2.9745 4.8823 4.8823
angles (deg): 120.00 90.00 90.00
Fractional positions:
Co 0.5000 0.5000 0.5000
Co 0.5000 0.0000 0.5000
Co 0.5000 0.5000 0.0000
B 0.0000 0.6667 0.3333
B 0.0000 0.3333 0.6667
Lu 0.0000 0.0000 0.0000

Space-group type: P6/mmm (191)
Calculated formation energy (eV per atom): -0.62

MgCo3B | GGA-PBEsol | relaxed

a b c (Å): 4.1745 4.1745 4.1745
angles (deg): 90.00 90.00 90.00
Fractional positions:
Mg 0.0000 0.0000 0.0000
B 0.5000 0.5000 0.5000
Co 0.0000 0.5000 0.0000
Co 0.0000 0.0000 0.5000
Co 0.5000 0.0000 0.0000

Relative energy among the computed polymorphs (eV per formula unit): 12.338
Space-group type: Pm-3m (221)
Calculated formation energy (eV per atom): 2.39

MgCo3B | GGA-PBEsol | relaxed

a b c (Å): 3.7955 3.7955 3.7955
angles (deg): 90.00 90.00 90.00
Fractional positions:
Mg 0.5000 0.5000 0.5000
B 0.0000 0.0000 0.0000
Co 0.0000 0.5000 0.0000
Co 0.0000 0.0000 0.5000
Co 0.5000 0.0000 0.0000

Relative energy among the computed polymorphs (eV per formula unit): 0.000
Space-group type: Pm-3m (221)
Calculated formation energy (eV per atom): -0.08

MgCo2B2 | GGA-PBEsol | relaxed

a b c (Å): 2.5516 5.8994 5.8994
angles (deg): 90.00 90.00 90.00
Fractional positions:
Mg 0.0000 0.0000 0.0000
Mg 0.0000 0.5000 0.5000
B 0.0000 0.3853 0.8853
B 0.0000 0.8853 0.6147
B 0.0000 0.6147 0.1147
B 0.0000 0.1147 0.3853
Co 0.5000 0.1663 0.6663
Co 0.5000 0.6663 0.8337
Co 0.5000 0.8337 0.3337
Co 0.5000 0.3337 0.1663

Space-group type: P4/mbm (127)
Calculated formation energy (eV per atom): -0.19

MgScCoB2 | GGA-PBEsol | relaxed

a b c (Å): 4.2833 4.3675 4.3675
angles (deg): 90.00 90.00 90.00
Fractional positions:
Sc 0.0000 0.0000 0.0000
Mg 0.5000 0.5000 0.5000
B 0.0000 0.0000 0.5000
B 0.0000 0.5000 0.0000
Co 0.5000 0.0000 0.0000

Space-group type: P4/mmm (123)
Calculated formation energy (eV per atom): 1.55

TaMn2CoB | GGA-PBEsol | relaxed

a b c (Å): 4.3319 4.5527 4.5527
angles (deg): 90.00 90.00 90.00
Fractional positions:
B 0.5000 0.5000 0.5000
Mn 0.0000 0.0000 0.5000
Mn 0.0000 0.5000 0.0000
Co 0.5000 0.0000 0.0000
Ta 0.0000 0.0000 0.0000

Space-group type: P4/mmm (123)
Calculated formation energy (eV per atom): 2.38

MnZnCo2B | GGA-PBEsol | relaxed

a b c (Å): 3.7750 4.0918 4.0918
angles (deg): 90.00 90.00 90.00
Fractional positions:
Zn 0.5000 0.5000 0.5000
Mn 0.0000 0.0000 0.0000
Co 0.0000 0.0000 0.5000
Co 0.0000 0.5000 0.0000
B 0.5000 0.0000 0.0000

Space-group type: P4/mmm (123)
Calculated formation energy (eV per atom): 1.17